Entry 1:
Here is Cu3OF5 at its PBEsol-relaxed geometry from Alexandria via LeMat-Bulk. Energies are from meta-GGA SCAN.

Summary:
Its final energy is -9.26 eV per atom. The calculation puts the energy above the lowest structure with this stoichiometry at 0.0 meV per atom. The calculation puts the spin magnetization at 0.1 μB/cell. For the density of states at the Fermi level, the calculation gives 9.0 states/eV per cell. The formation energy without anion corrections is -1.530 eV/atom.

Cell: 5.407 5.627 6.965 Å, 75.59 73.38 74.48°
Space group P1 (No. 1)
One atom of each set of equivalent atoms:
Cu  0.000  0.000  0.000 (multiplicity 1)
Cu  0.002  0.012  0.501 (multiplicity 1)
Cu  0.346  0.354  0.655 (multiplicity 1)
Cu  0.349  0.347  0.177 (multiplicity 1)
Cu  0.667  0.667  0.324 (multiplicity 1)
Cu  0.686  0.686  0.846 (multiplicity 1)
O  0.447  0.446  0.371 (multiplicity 1)
O  0.780  0.773  0.042 (multiplicity 1)
F  0.044  0.645  0.679 (multiplicity 1)
F  0.103  0.119  0.701 (multiplicity 1)
F  0.240  0.249  0.966 (multiplicity 1)
F  0.321  0.731  0.988 (multiplicity 1)
F  0.359  0.961  0.345 (multiplicity 1)
F  0.593  0.591  0.634 (multiplicity 1)
F  0.644  0.066  0.660 (multiplicity 1)
F  0.702  0.295  0.016 (multiplicity 1)
F  0.897  0.895  0.309 (multiplicity 1)
F  0.990  0.376  0.330 (multiplicity 1)

Entry 2:
Here is Zn4CuAs at its PBEsol-relaxed geometry from Alexandria via LeMat-Bulk. Energies are from meta-GGA SCAN.

Summary:
As for the energy relative to the elements: 0.216 eV/atom. Its final energy is -14.69 eV per atom. The calculation puts the spin magnetization at 0.0 μB/cell. For the density of states at the Fermi level, the calculation gives 6.0 states/eV per cell.

Cell: 7.084 7.084 7.084 Å, 90.00 90.00 90.00°
Space group F-43m (No. 216)
One atom of each set of equivalent atoms:
Zn  0.125  0.125  0.125 (multiplicity 16)
Cu  0.250  0.250  0.750 (multiplicity 4)
As  0.000  0.000  0.500 (multiplicity 4)

Entry 3:
Here is Cs2CdHg2 at its PBEsol-relaxed geometry from Alexandria via LeMat-Bulk. Energies are from meta-GGA SCAN.

Summary:
As for the energy relative to the elements: -0.159 eV/atom. Its final energy is -48.63 eV per atom. The calculation puts the energy above the lowest structure with this stoichiometry at 20.1 meV per atom. The calculation puts the spin magnetization at 0.0 μB/cell. For the density of states at the Fermi level, the calculation gives 4.2 states/eV per cell.

Cell: 7.069 7.069 8.762 Å, 90.00 90.00 90.00°
Space group I4/mmm (No. 139)
One atom of each set of equivalent atoms:
Cs  0.000  0.500  0.250 (multiplicity 4)
Cd  0.000  0.000  0.000 (multiplicity 2)
Hg  0.000  0.000  0.336 (multiplicity 4)

Entry 4:
Here is LiAu5 at its PBEsol-relaxed geometry from Alexandria via LeMat-Bulk. Energies are from meta-GGA SCAN.

Summary:
As for the energy relative to the elements: -0.207 eV/atom. Its final energy is -58.24 eV per atom. The calculation puts the energy above the lowest structure with this stoichiometry at 75.8 meV per atom. The calculation puts the spin magnetization at 0.0 μB/cell. For the density of states at the Fermi level, the calculation gives 1.6 states/eV per cell.

Cell: 2.839 2.839 12.075 Å, 90.00 90.00 90.00°
Space group P4/mmm (No. 123)
One atom of each set of equivalent atoms:
Li  0.000  0.000  0.000 (multiplicity 1)
Au  0.000  0.000  0.327 (multiplicity 2)
Au  0.500  0.500  0.151 (multiplicity 2)
Au  0.500  0.500  0.500 (multiplicity 1)

Q: spin magnetization of number 2 (Zn4CuAs)?
A: 0.0 μB/cell